Dy4InAu after structural relaxation. Source: Alexandria via LeMat-Bulk, functional PBE.

Unit cell a=5.3915 b=6.9373 c=8.8606 alpha=90.00 beta=96.92 gamma=90.00
With the nearest neighbours (Å) after each atom.
Space group P2_1/m (No. 11)
Unique sites:
1 Dy 0.1812 0.2500 0.0609 [2 per cell]  2 Au 2.84-2.96, 1 In 3.15
2 Dy 0.2224 0.7500 0.3845 [2 per cell]  1 Au 2.99, 2 In 3.19-3.21
3 Dy 0.3039 0.5105 0.7425 [4 per cell]  2 Au 3.06-3.27, 1 Dy 3.32, 1 In 3.37
4 In 0.2357 0.2500 0.4193 [2 per cell]  11 Dy 3.15-3.50
5 Au 0.3310 0.7500 0.0614 [2 per cell]  5 Dy 2.84-3.06

Summary:
Uncorrected energy (eV/atom): -4.52
Fermi-level density of states (states/eV per cell): 10.42
Energy of formation from the pure elements (eV/atom): -0.446
Energy above the most stable polymorph in this dataset (eV/atom): 0.000